A plane-wave DFT calculation with GGA-PBE was carried out for a relaxed structure of Nd2Si7Ru12.

Cell lengths 3.960, 9.662, 9.662 Å; angles 120.00, 90.00, 90.00 degrees
Positions (direct):
1 Ru 0.500 0.224 0.459
2 Ru 0.000 0.484 0.941
3 Ru 0.500 0.235 0.776
4 Si 0.000 0.221 0.264
5 Si 0.000 0.736 0.957
6 Nd 0.500 0.000 0.000
7 Nd 0.000 0.667 0.333
8 Si 0.000 0.043 0.779
9 Si 0.500 0.625 0.564
10 Si 0.500 0.436 0.061
11 Ru 0.000 0.059 0.543
12 Si 0.500 0.939 0.375
13 Ru 0.000 0.960 0.236
14 Ru 0.500 0.715 0.097
15 Ru 0.500 0.541 0.765
16 Ru 0.000 0.276 0.040
17 Ru 0.000 0.764 0.724
18 Ru 0.500 0.903 0.618
19 Si 0.000 0.333 0.667
20 Ru 0.000 0.457 0.516
21 Ru 0.500 0.382 0.285

Properties
- M_tot (μB/atom) = 0.00
- energy relative to the elements, uncorrected (kJ/mol of atoms) = -55